Below is a geometry-optimized CeYZr2As4 structure, with properties calculated at the PBE level.

Computed properties:
Fermi-level density of states = 5.84 states/eV per cell
space group = No. 10
formation energy from the elements = -1.32 eV per atom
spin magnetization = 0.04 μB/cell
V = 22.752 A^3/atom

a = 3.9981 Å, b = 6.9215 Å, c = 6.9708 Å
α = 109.35°, β = 90.00°, γ = 90.00°
Last column: nearest neighbours and their distance in Å.
Fractional positions:
Y: 0.0000 0.0000 0.0000  6 As 2.89
As: 0.5000 0.2536 0.2649  3 Zr 2.77-2.78, 2 Y 2.89, 1 Ce 2.90
As: 0.0000 0.2426 0.7333  3 Zr 2.77-2.78, 1 Y 2.89, 2 Ce 2.90
As: 0.0000 0.7574 0.2667  3 Zr 2.77-2.78, 1 Y 2.89, 2 Ce 2.90
As: 0.5000 0.7464 0.7351  3 Zr 2.77-2.78, 2 Y 2.89, 1 Ce 2.90
Ce: 0.5000 0.5000 0.0000  6 As 2.90
Zr: 0.5000 0.0000 0.5000  6 As 2.77
Zr: 0.0000 0.5000 0.5000  6 As 2.78